1.
Below is crystalline ZnCuP3 at its relaxed geometry, with properties calculated at the PBE level.

a b c (Å): 4.5145 4.5145 4.5145
angles (deg): 90.00 90.00 90.00
Fractional positions:
1 P 0.0000 0.5000 0.0000
2 Zn 0.5000 0.5000 0.5000
3 P 0.0000 0.0000 0.5000
4 P 0.5000 0.0000 0.0000
5 Cu 0.0000 0.0000 0.0000

Offset from the most stable computed form = 0.000 eV/atom
Calculated volume = 18.4 Å³/atom
Total moment = 0.0 μB per cell


2.
Below is crystalline ZnCu2P at its relaxed geometry, with properties calculated at the PBE level.

a b c (Å): 4.2524 4.2524 4.2524
angles (deg): 60.00 60.00 60.00
Fractional positions:
1 Zn 0.7500 0.7500 0.7500
2 Cu 0.0000 0.0000 0.0000
3 Cu 0.2500 0.2500 0.2500
4 P 0.5000 0.5000 0.5000

Offset from the most stable computed form = 0.166 eV/atom
Calculated volume = 13.6 Å³/atom
Total moment = 0.0 μB per cell


3.
Below is crystalline ZnCu2P at its relaxed geometry, with properties calculated at the PBE level.

a b c (Å): 3.8439 3.8439 8.3762
angles (deg): 76.74 76.74 90.00
Fractional positions:
1 Zn 0.7500 0.2500 0.5000
2 Cu 0.3750 0.4103 0.7500
3 Cu 0.8750 0.8397 0.7500
4 Cu 0.1603 0.6250 0.2500
5 P 0.2500 0.7500 0.5000
6 P 0.5000 0.5000 0.0000
7 Cu 0.5897 0.1250 0.2500
8 Zn 0.0000 0.0000 0.0000

Offset from the most stable computed form = 0.061 eV/atom
Calculated volume = 14.6 Å³/atom
Total moment = 0.0 μB per cell